Record 1
First-principles (PBE) data for a relaxed structure of RbPaO3, as listed in the Open Quantum Materials Database. Values from VASP.

Quantum ESPRESSO input file:
```
&SYSTEM
  ibrav = 0, nat = 20, ntyp = 3
/
ATOMIC_SPECIES
O 16.00 O.upf
Pa 231.04 Pa.upf
Rb 85.47 Rb.upf
CELL_PARAMETERS angstrom
-0.459 -6.039 1.532
1.953 1.320 5.788
-8.366 1.278 2.531
ATOMIC_POSITIONS crystal
O 0.248 0.248 0.000
O 0.748 0.252 0.000
O 0.252 0.748 0.000
O 0.752 0.752 0.000
O 0.000 0.499 0.250
O 0.500 0.999 0.250
O 0.248 0.248 0.500
O 0.252 0.748 0.500
O 0.748 0.252 0.500
O 0.752 0.752 0.500
O 0.500 0.001 0.750
O 0.000 0.501 0.750
Pa 0.500 0.000 0.000
Pa 0.000 0.500 0.000
Pa 0.500 0.000 0.500
Pa 0.000 0.500 0.500
Rb 0.500 0.500 0.250
Rb 0.000 0.000 0.250
Rb 0.000 0.000 0.750
Rb 0.500 0.500 0.750
```

VASP energy = -7.73 eV/atom


Record 2
First-principles (PBE) data for a relaxed structure of SmTlIn, as listed in the Open Quantum Materials Database. Values from VASP.

Quantum ESPRESSO input file:
```
&SYSTEM
  ibrav = 0, nat = 3, ntyp = 3
/
ATOMIC_SPECIES
In 114.82 In.upf
Sm 150.36 Sm.upf
Tl 204.38 Tl.upf
CELL_PARAMETERS angstrom
-2.805 -4.290 -0.608
0.707 -4.016 3.165
-3.626 -1.226 3.463
ATOMIC_POSITIONS crystal
In 0.250 0.250 0.250
Sm 0.000 0.000 0.000
Tl 0.750 0.750 0.750
```

VASP energy = -3.31 eV/atom